VASP calculation (PBE-GGA) on an optimized crystal structure of KIn2Re.

Cell lengths 5.4086, 5.4086, 3.0184 Å; angles 90.00, 90.00, 90.00 degrees
Space group P4/mmm (No. 123)
Asymmetric unit:
K 0.0000 0.0000 0.0000 x1
In 0.0000 0.5000 0.5000 x2
Re 0.5000 0.5000 0.0000 x1

## Properties
excess energy over the best structure of this formula in the dataset = 452 meV per atom
E_form = 0.918 eV/atom
crystal system = tetragonal

=====

VASP calculation (PBE-GGA) on an optimized crystal structure of K2InRe.

Cell lengths 3.0514, 3.0514, 36.8280 Å; angles 90.00, 90.00, 120.00 degrees
Space group R-3m (No. 166, hexagonal axes)
Asymmetric unit:
K 0.0000 0.0000 0.2444 x6
In 0.0000 0.0000 0.0000 x3
Re 0.0000 0.0000 0.5000 x3

## Properties
E_form = 1.105 eV/atom
crystal system = trigonal

=====

VASP calculation (PBE-GGA) on an optimized crystal structure of KIn2Re.

Cell lengths 2.9665, 4.6639, 8.2765 Å; angles 90.00, 90.09, 90.00 degrees
Space group Pm (No. 6)
Asymmetric unit:
K 0.0000 0.0000 0.0000 x1
In 0.4956 0.0000 0.3847 x1
In 0.4975 0.5000 0.6869 x1
Re 0.9957 0.5000 0.3984 x1

## Properties
excess energy over the best structure of this formula in the dataset = 58 meV per atom
E_form = 0.523 eV/atom
crystal system = monoclinic

=====

VASP calculation (PBE-GGA) on an optimized crystal structure of K2InRe.

Cell lengths 7.7094, 7.7094, 7.7094 Å; angles 90.00, 90.00, 90.00 degrees
Space group F-43m (No. 216)
Asymmetric unit:
K 0.0000 0.0000 0.0000 x4
K 0.2500 0.2500 0.2500 x4
In 0.0000 0.0000 0.5000 x4
Re 0.2500 0.2500 0.7500 x4

## Properties
E_form = 1.237 eV/atom
crystal system = cubic

=====

VASP calculation (PBE-GGA) on an optimized crystal structure of KInRe3.

Cell lengths 4.6135, 4.6135, 4.6135 Å; angles 90.00, 90.00, 90.00 degrees
Space group Pm-3m (No. 221)
Asymmetric unit:
K 0.0000 0.0000 0.0000 x1
In 0.5000 0.5000 0.5000 x1
Re 0.0000 0.0000 0.5000 x3

## Properties
excess energy over the best structure of this formula in the dataset = 641 meV per atom
E_form = 3.649 eV/atom
crystal system = cubic

=====

VASP calculation (PBE-GGA) on an optimized crystal structure of KIn2Re.

Cell lengths 3.0111, 3.0111, 10.4275 Å; angles 90.00, 90.00, 90.00 degrees
Space group P4mm (No. 99)
Asymmetric unit:
K 0.0000 0.0000 0.0000 x1
In 0.0000 0.0000 0.4537 x1
In 0.5000 0.5000 0.7043 x1
Re 0.5000 0.5000 0.2636 x1

## Properties
excess energy over the best structure of this formula in the dataset = 319 meV per atom
E_form = 0.784 eV/atom
crystal system = tetragonal

=====

VASP calculation (PBE-GGA) on an optimized crystal structure of KInRe2.

Cell lengths 5.7301, 10.5435, 2.7019 Å; angles 90.00, 109.83, 90.00 degrees
Space group C2/m (No. 12)
Asymmetric unit:
K 0.0000 0.0000 0.0000 x2
In 0.0000 0.5000 0.0000 x2
Re 0.2500 0.2500 0.5000 x4

## Properties
E_form = 1.330 eV/atom
crystal system = monoclinic

=====

VASP calculation (PBE-GGA) on an optimized crystal structure of KInRe3.

Cell lengths 4.9954, 4.9954, 4.9954 Å; angles 90.00, 90.00, 90.00 degrees
Space group Pm-3m (No. 221)
Asymmetric unit:
K 0.0000 0.0000 0.0000 x1
In 0.5000 0.5000 0.5000 x1
Re 0.0000 0.5000 0.5000 x3

## Properties
excess energy over the best structure of this formula in the dataset = 0 meV per atom
E_form = 3.008 eV/atom
crystal system = cubic